The following is a DFT calculation (PBE) of a relaxed structure of Ho5NiSb2.

```
Ho5NiSb2
1.0
7.881 0.000 0.000
0.000 8.788 0.000
0.000 0.000 12.108
Ho Ni Sb
20 4 8
Direct
0.320 0.541 0.434
0.875 0.250 0.804
0.180 0.541 0.934
0.320 0.959 0.434
0.125 0.750 0.196
0.842 0.750 0.793
0.375 0.750 0.696
0.955 0.750 0.500
0.455 0.250 0.000
0.680 0.459 0.566
0.820 0.041 0.066
0.658 0.750 0.293
0.545 0.750 0.000
0.045 0.250 0.500
0.680 0.041 0.566
0.180 0.959 0.934
0.625 0.250 0.304
0.342 0.250 0.707
0.820 0.459 0.066
0.158 0.250 0.207
0.924 0.750 0.012
0.576 0.750 0.512
0.076 0.250 0.988
0.424 0.250 0.488
0.930 0.491 0.327
0.430 0.509 0.173
0.430 0.991 0.173
0.570 0.491 0.827
0.070 0.509 0.673
0.570 0.009 0.827
0.930 0.009 0.327
0.070 0.991 0.673
```

Total magnetic moment, μB per formula unit: 0.0
Energy above the lowest structure with this stoichiometry, kJ/mol of formula units: 0
Uncorrected formation energy, eV/atom: -0.732
N(E_F), states/eV per atom: 0.920
Symmetry: Pnma